1.
# Ba3CdPd PBEsol optimized geometry
# - Total moment: 0.0 μB/f.u.
# - Energy: -2.347 eV/atom
# - Calculated formation energy: 1.865 eV/f.u.
data_Ba3CdPd
_cell_length_a 6.292
_cell_length_b 6.292
_cell_length_c 6.292
_cell_angle_alpha 90.00
_cell_angle_beta 90.00
_cell_angle_gamma 90.00
_symmetry_space_group_name_H-M 'P m -3 m'
_symmetry_Int_Tables_number 221
_symmetry_space_group_name_Hall '-P 4 2 3'
loop_
_atom_site_label
_atom_site_fract_x
_atom_site_fract_y
_atom_site_fract_z
_atom_site_occupancy
Ba1 0.000 0.000 0.500 1
Cd1 0.000 0.000 0.000 1
Pd1 0.500 0.500 0.500 1


2.
# AlSiSb2 PBEsol optimized geometry
# - E_form (uncorrected): 0.24 eV per atom
# - Total moment: 0.0 μB/f.u.
# - Energy: -4.494 eV/atom
data_AlSiSb2
_cell_length_a 10.926
_cell_length_b 3.090
_cell_length_c 5.883
_cell_angle_alpha 90.00
_cell_angle_beta 117.85
_cell_angle_gamma 90.00
_symmetry_space_group_name_H-M 'C 1 m 1'
_symmetry_Int_Tables_number 8
loop_
_symmetry_equiv_pos_as_xyz
'x,y,z'
'x,-y,z'
'x+1/2,y+1/2,z'
'x+1/2,-y+1/2,z'
loop_
_atom_site_label
_atom_site_fract_x
_atom_site_fract_y
_atom_site_fract_z
_atom_site_occupancy
Al1 0.000 0.000 0.000 1
Si1 0.409 0.000 0.594 1
Sb1 0.131 0.500 0.510 1
Sb2 0.266 0.500 0.093 1


3.
# NaCuAsBr2 PBEsol optimized geometry
# - E_form (uncorrected): 0.69 eV per atom
# - Total moment: 2.7 μB/f.u.
# - Energy: -2.226 eV/atom
data_NaCuAsBr2
_cell_length_a 5.237
_cell_length_b 5.237
_cell_length_c 5.350
_cell_angle_alpha 90.00
_cell_angle_beta 90.00
_cell_angle_gamma 90.00
_symmetry_space_group_name_H-M 'P 4/m m m'
_symmetry_Int_Tables_number 123
_symmetry_space_group_name_Hall '-P 4 2'
loop_
_atom_site_label
_atom_site_fract_x
_atom_site_fract_y
_atom_site_fract_z
_atom_site_occupancy
Na1 0.000 0.000 0.000 1
Cu1 0.500 0.500 0.500 1
As1 0.000 0.000 0.500 1
Br1 0.000 0.500 0.000 1


4.
# Ag3As PBEsol optimized geometry
# - Total moment: 0.0 μB/f.u.
# - Energy: -3.689 eV/atom
# - Calculated formation energy: 0.282 eV/f.u.
data_Ag3As
_cell_length_a 4.076
_cell_length_b 4.076
_cell_length_c 4.076
_cell_angle_alpha 90.00
_cell_angle_beta 90.00
_cell_angle_gamma 90.00
_symmetry_space_group_name_H-M 'P m -3 m'
_symmetry_Int_Tables_number 221
_symmetry_space_group_name_Hall '-P 4 2 3'
loop_
_atom_site_label
_atom_site_fract_x
_atom_site_fract_y
_atom_site_fract_z
_atom_site_occupancy
Ag1 0.000 0.000 0.500 1
As1 0.500 0.500 0.500 1


5.
# IrRhF3 PBEsol optimized geometry
# - E_form (uncorrected): 0.18 eV per atom
# - Total moment: 2.1 μB/f.u.
# - Energy: -4.566 eV/atom
data_IrRhF3
_cell_length_a 4.133
_cell_length_b 4.133
_cell_length_c 4.133
_cell_angle_alpha 90.00
_cell_angle_beta 90.00
_cell_angle_gamma 90.00
_symmetry_space_group_name_H-M 'P m -3 m'
_symmetry_Int_Tables_number 221
_symmetry_space_group_name_Hall '-P 4 2 3'
loop_
_atom_site_label
_atom_site_fract_x
_atom_site_fract_y
_atom_site_fract_z
_atom_site_occupancy
Ir1 0.000 0.000 0.000 1
Rh1 0.500 0.500 0.500 1
F1 0.000 0.000 0.500 1


6.
# TeC4 PBEsol optimized geometry
# - E_form (uncorrected): 1.65 eV per atom
# - Total moment: 0.0 μB/f.u.
# - Energy: -6.775 eV/atom
data_TeC4
_cell_length_a 3.0832
_cell_length_b 3.0832
_cell_length_c 5.8985
_cell_angle_alpha 90.00
_cell_angle_beta 90.00
_cell_angle_gamma 120.00
_symmetry_space_group_name_H-M 'P -3 m 1'
_symmetry_Int_Tables_number 164
_symmetry_space_group_name_Hall '-P 3 2"'
loop_
_atom_site_label
_atom_site_fract_x
_atom_site_fract_y
_atom_site_fract_z
_atom_site_occupancy
Te1 0.0000 0.0000 0.0000 1
C1 0.3333 0.6667 0.2034 1
C2 0.3333 0.6667 0.4512 1